Material: MgMnPt2
Method: DFT, PBE-GGA
State: relaxed

## Properties
**Calculated formation energy**: -1.41 eV per formula unit
**Calculated density**: 12.2 g/cm³
**Fermi-level density of states**: 2.0 states/eV/cell

Structure (POSCAR):
```
MgMnPt2
1.0
0.000 3.169 3.169
3.169 0.000 3.169
3.169 3.169 0.000
Mg Mn Pt
1 1 2
direct
0.000 0.000 0.000
0.750 0.750 0.750
0.250 0.250 0.250
0.500 0.500 0.500
```

=====

Material: MgMnPt2
Method: DFT, PBE-GGA
State: relaxed

## Properties
**Calculated formation energy**: -1.60 eV per formula unit
**Calculated density**: 12.4 g/cm³
**Fermi-level density of states**: 2.2 states/eV/cell

Structure (POSCAR):
```
MgMnPt2
1.0
4.348 -1.452 0.000
4.348 1.452 0.000
-0.970 0.000 4.981
Mg Mn Pt
1 1 2
direct
0.000 0.000 0.000
0.500 0.500 0.500
0.247 0.247 0.745
0.753 0.753 0.255
```

=====

Material: Mg3MnPt3
Method: DFT, PBE-GGA
State: relaxed

## Properties
**Calculated formation energy**: -4.22 eV per formula unit
**Calculated density**: 9.6 g/cm³
**Fermi-level density of states**: 5.7 states/eV/cell

Structure (POSCAR):
```
Mg3MnPt3
1.0
4.537 -4.604 0.000
4.537 4.604 0.000
0.000 0.000 5.888
Mg Mn Pt
6 2 6
direct
0.234 0.234 0.500
0.246 0.754 0.000
0.251 0.251 0.000
0.749 0.749 0.000
0.754 0.246 0.000
0.766 0.766 0.500
0.258 0.742 0.500
0.742 0.258 0.500
0.000 0.500 0.252
0.000 0.500 0.748
0.500 0.000 0.252
0.500 0.000 0.748
0.500 0.500 0.254
0.500 0.500 0.746
```